HfIn2Hg | PBE-GGA | optimized geometry

Calculated values
The calculation puts the total energy at -3.910 eV per atom. As for the symmetry: No. 123. The formation energy comes out at 0.023 eV/atom.

abc: 3.205 3.205 9.253
angles: 90.00 90.00 90.00
Fractional positions:
Hf 0.000 0.000 0.000
In 0.500 0.500 0.229
In 0.500 0.500 0.771
Hg 0.000 0.000 0.500

***

Sc2SbSe | PBE-GGA | optimized geometry

Calculated values
The calculation puts the total energy at -5.771 eV per atom. The calculation puts the uncorrected formation energy at -0.70 eV/atom. As for the symmetry: No. 166.

abc: 9.087 9.087 9.087
angles: 23.28 23.28 23.28
Fractional positions:
Sc 0.106 0.106 0.106
Sc 0.894 0.894 0.894
Sb 0.000 0.000 0.000
Se 0.500 0.500 0.500

***

Sr5PPd | PBE-GGA | optimized geometry

Calculated values
The calculation puts the total energy at -3.261 eV per atom. As for the symmetry: No. 11. The formation energy comes out at -0.545 eV/atom.

abc: 8.125 4.356 16.028
angles: 90.00 91.67 90.00
Fractional positions:
Sr 0.092 0.250 0.216
Sr 0.134 0.250 0.593
Sr 0.215 0.750 0.997
Sr 0.370 0.750 0.419
Sr 0.398 0.250 0.794
Sr 0.602 0.750 0.206
Sr 0.630 0.250 0.581
Sr 0.785 0.250 0.003
Sr 0.866 0.750 0.407
Sr 0.908 0.750 0.784
P 0.076 0.250 0.883
P 0.924 0.750 0.117
Pd 0.387 0.750 0.639
Pd 0.613 0.250 0.361

***

TbNpN | PBE-GGA | optimized geometry

Calculated values
The calculation puts the total energy at -8.082 eV per atom. The calculation puts the uncorrected formation energy at 0.55 eV/atom. As for the symmetry: No. 107.

abc: 4.982 4.982 4.982
angles: 125.95 125.95 79.97
Fractional positions:
Tb 0.000 0.000 0.000
Np 0.461 0.461 0.000
N 0.720 0.720 0.000

***

LiGeOs | PBE-GGA | optimized geometry

Calculated values
The calculation puts the total energy at -5.993 eV per atom. As for the symmetry: No. 129. The formation energy comes out at -0.072 eV/atom.

abc: 3.895 3.895 6.555
angles: 90.00 90.00 90.00
Fractional positions:
Li 0.250 0.250 0.165
Li 0.750 0.750 0.835
Ge 0.250 0.250 0.750
Ge 0.750 0.750 0.250
Os 0.250 0.750 0.500
Os 0.750 0.250 0.500

***

LaAl2Os | PBE-GGA | optimized geometry

Calculated values
The calculation puts the total energy at -5.879 eV per atom. As for the symmetry: No. 216. The formation energy comes out at 0.031 eV/atom.

abc: 4.773 4.773 4.773
angles: 60.00 60.00 60.00
Fractional positions:
La 0.000 0.000 0.000
Al 0.250 0.250 0.250
Al 0.500 0.500 0.500
Os 0.750 0.750 0.750

***

CaY3Bi3 | PBE-GGA | optimized geometry

Calculated values
The calculation puts the total energy at -5.426 eV per atom. As for the symmetry: No. 148. The formation energy comes out at -0.707 eV/atom.

abc: 8.256 8.256 8.256
angles: 67.86 67.86 67.86
Fractional positions:
Ca 0.166 0.166 0.166
Ca 0.834 0.834 0.834
Y 0.165 0.414 0.669
Y 0.331 0.835 0.586
Y 0.414 0.669 0.165
Y 0.586 0.331 0.835
Y 0.669 0.165 0.414
Y 0.835 0.586 0.331
Bi 0.028 0.802 0.420
Bi 0.198 0.580 0.972
Bi 0.420 0.028 0.802
Bi 0.580 0.972 0.198
Bi 0.802 0.420 0.028
Bi 0.972 0.198 0.580

***

Tb2SmEr3Se6 | PBE-GGA | optimized geometry

Calculated values
The calculation puts the total energy at -5.790 eV per atom. The calculation puts the uncorrected formation energy at -1.74 eV/atom. As for the symmetry: No. 12.

abc: 9.135 9.135 8.212
angles: 103.69 103.69 25.66
Fractional positions:
Tb 0.166 0.166 0.331
Tb 0.834 0.834 0.669
Sm 0.500 0.500 0.000
Er 0.165 0.165 0.833
Er 0.500 0.500 0.500
Er 0.835 0.835 0.167
Se 0.001 0.001 0.742
Se 0.330 0.330 0.919
Se 0.334 0.334 0.414
Se 0.666 0.666 0.586
Se 0.670 0.670 0.081
Se 0.999 0.999 0.258